1.
Entry from Alexandria: a geometry-optimized Sc2TcP structure (PBE).

Cell: 3.1060 3.1060 7.6041 Å, 90.00 90.00 107.19°
Positions (direct):
Tc1 0.5000 0.5000 0.5000
Sc1 0.0000 0.0000 0.7583
Sc2 0.0000 0.0000 0.2417
P1 0.5000 0.5000 0.0000

Results
The formation energy comes out at -0.4856 eV per atom. The value obtained for the spin magnetization is 0.00 μB/f.u.

2.
Entry from Alexandria: a geometry-optimized Zn2CdSe structure (PBE).

Cell: 3.6882 3.6882 5.7502 Å, 90.00 90.00 90.00°
Positions (direct):
Se1 0.5000 0.5000 0.7500
Cd1 0.5000 0.5000 0.2500
Zn1 0.0000 0.0000 0.9901
Zn2 0.0000 0.0000 0.5099

Results
The uncorrected formation energy comes out at 0.086 eV/atom. For the energy above the most stable polymorph in this dataset, the calculation gives 183 meV/atom. The value obtained for the spin magnetization is 0.00 μB/f.u.

3.
Entry from Alexandria: a geometry-optimized LiMg2Hg4Pb structure (PBE).

Cell: 4.9880 4.9880 8.9905 Å, 73.89 73.89 60.00°
Positions (direct):
Hg1 0.1340 0.1340 0.5981
Hg2 0.8660 0.8660 0.4019
Hg3 0.3889 0.3889 0.8334
Hg4 0.6111 0.6111 0.1666
Mg1 0.7501 0.7501 0.7497
Mg2 0.2499 0.2499 0.2503
Pb1 0.0000 0.0000 0.0000
Li1 0.5000 0.5000 0.5000

Results
The formation energy comes out at -0.1738 eV per atom. The value obtained for the spin magnetization is 0.00 μB/f.u.

4.
Entry from Alexandria: a geometry-optimized SmErRh4 structure (PBE).

Cell: 5.3518 5.3518 5.3518 Å, 60.00 60.00 60.00°
Positions (direct):
Rh1 0.1254 0.6249 0.6249
Rh2 0.6249 0.6249 0.1254
Rh3 0.6249 0.1254 0.6249
Rh4 0.6249 0.6249 0.6249
Sm1 0.0000 0.0000 0.0000
Er1 0.2500 0.2500 0.2500

Results
The formation energy comes out at -0.7204 eV per atom. The value obtained for the spin magnetization is 0.00 μB/f.u.

5.
Entry from Alexandria: a geometry-optimized Nd2Er6Zn structure (PBE).

Cell: 5.3949 9.6901 10.1692 Å, 90.00 89.99 90.00°
Positions (direct):
Er1 0.0002 0.0158 0.1857
Er2 0.0000 0.3647 0.1025
Er3 0.0000 0.3113 0.4267
Er4 0.0000 0.6353 0.8975
Er5 0.5000 0.8646 0.3975
Er6 0.0000 0.6887 0.5733
Er7 0.5000 0.8112 0.0734
Er8 0.9998 0.9842 0.8143
Er9 0.5000 0.1888 0.9266
Er10 0.5002 0.4842 0.6857
Er11 0.5000 0.1354 0.6025
Er12 0.4998 0.5158 0.3143
Zn1 0.5000 0.5000 0.0000
Zn2 0.0000 0.0000 0.5000
Nd1 0.5002 0.1890 0.2512
Nd2 0.9998 0.6889 0.2489
Nd3 0.4998 0.8110 0.7488
Nd4 0.0002 0.3111 0.7511

Results
The formation energy comes out at 0.0378 eV per atom. The value obtained for the spin magnetization is 0.00 μB/f.u.

6.
Entry from Alexandria: a geometry-optimized KGaGe structure (PBE).

Cell: 12.4151 12.4151 9.0849 Å, 46.90 46.90 90.00°
Positions (direct):
Ga1 0.2182 0.2182 0.0000
Ga2 0.2182 0.7818 0.0000
Ga3 0.7818 0.7818 0.0000
Ga4 0.7818 0.2182 0.0000
K1 0.2821 0.5000 0.0000
K2 0.7179 0.5000 0.0000
K3 0.5000 0.2821 0.0000
K4 0.5000 0.7179 0.0000
Ge1 0.0000 0.3988 0.0000
Ge2 0.3988 0.0000 0.0000
Ge3 0.6012 0.0000 0.0000
Ge4 0.0000 0.6012 0.0000

Results
The formation energy comes out at 0.0699 eV per atom. The value obtained for the spin magnetization is 0.00 μB/f.u.

7.
Entry from Alexandria: a geometry-optimized AlCd2 structure (PBE).

Cell: 13.6275 13.6275 13.6275 Å, 161.65 161.65 26.07°
Positions (direct):
Cd1 0.1660 0.6660 0.5000
Cd2 0.3340 0.8340 0.5000
Cd3 0.5840 0.5840 0.0000
Cd4 0.5004 0.0004 0.5000
Cd5 0.7503 0.7504 0.0000
Cd6 0.4160 0.4160 0.0000
Cd7 0.9997 0.4997 0.5000
Cd8 0.2497 0.2497 0.0000
Al1 0.6641 0.1641 0.5000
Al2 0.9141 0.9141 0.0000
Al3 0.8359 0.3359 0.5000
Al4 0.0859 0.0859 0.0000

Results
The formation energy comes out at 0.1140 eV per atom. The value obtained for the spin magnetization is 0.00 μB/f.u.

8.
Entry from Alexandria: a geometry-optimized KTiGa2O6 structure (PBE).

Cell: 6.2431 7.5671 7.5671 Å, 104.11 76.03 76.03°
Each line ends with the local moment (μB).
Positions (direct):
Ga1 0.6390 0.2815 0.4499  -0.01
Ga2 0.8610 0.5501 0.7185  -0.01
Ga3 0.3610 0.7185 0.5501  -0.01
Ga4 0.1390 0.4499 0.2815  -0.01
O1 0.7330 0.7554 0.9487  0.05
O2 0.4831 0.7936 0.3446  0.01
O3 0.0820 0.6427 0.5704  0.39
O4 0.2670 0.2446 0.0513  0.05
O5 0.9831 0.3446 0.7936  0.01
O6 0.5169 0.2064 0.6554  0.01
O7 0.4180 0.4296 0.3573  0.39
O8 0.0169 0.6554 0.2064  0.01
O9 0.5820 0.5704 0.6427  0.39
O10 0.7670 0.0513 0.2446  0.05
O11 0.9180 0.3573 0.4296  0.39
O12 0.2330 0.9487 0.7554  0.05
Ti1 0.7500 0.8054 0.1946  -0.01
Ti2 0.2500 0.1946 0.8054  -0.01
K1 0.2500 0.8975 0.1025  0.00
K2 0.7500 0.1025 0.8975  0.00

Results
The uncorrected formation energy comes out at -2.000 eV/atom. The value obtained for the spin magnetization is 1.05 μB/f.u.